# LiZn2In, single point on PBEsol structure, DFT meta-GGA SCAN
# N(E_F)   1.1 states/eV/f.u.
# Size of the total moment   0.00 μB/cell
# Energy relative to the elements   -0.1241 eV per atom
# Raw total energy   -15.826 eV per atom
data_LiZn2In
_cell_length_a 5.7945
_cell_length_b 5.7644
_cell_length_c 4.8556
_cell_angle_alpha 90.00
_cell_angle_beta 125.56
_cell_angle_gamma 90.00
_symmetry_space_group_name_H-M 'C 1 2 1'
_symmetry_Int_Tables_number 5
_symmetry_space_group_name_Hall 'C 2y'
loop_
_atom_site_label
_atom_site_type_symbol
_atom_site_fract_x
_atom_site_fract_y
_atom_site_fract_z
Li1 Li 0.0000 0.0000 0.0000
Zn1 Zn 0.0000 0.5033 0.0000
Zn2 Zn 0.0000 0.7511 0.5000
In1 In 0.0000 0.2503 0.5000